w) A plane-wave DFT calculation with PBE was carried out for crystalline Nd12Dy5Er2 at its relaxed geometry.

Properties
Fermi-level density of states: 27.5 states/eV/f.u.
Symmetry: C2/m, No. 12
Total magnetic moment: 0.00 μB per formula unit

Unit cell a=9.2912 b=9.2912 c=8.0797 alpha=93.12 beta=93.12 gamma=69.85
Atoms (fractional coordinates):
Nd: 0.0544 0.0544 0.2119
Nd: 0.0896 0.5404 0.7078
Nd: 0.1205 0.6665 0.1147
Nd: 0.3335 0.8795 0.8853
Nd: 0.3691 0.3691 0.3951
Nd: 0.4596 0.9104 0.2922
Nd: 0.5404 0.0896 0.7078
Nd: 0.6309 0.6309 0.6049
Nd: 0.6665 0.1205 0.1147
Nd: 0.8795 0.3335 0.8853
Nd: 0.9104 0.4596 0.2922
Nd: 0.9456 0.9456 0.7881
Dy: 0.1563 0.1563 0.5944
Dy: 0.2584 0.2584 0.0138
Dy: 0.5000 0.5000 0.0000
Dy: 0.7416 0.7416 0.9862
Dy: 0.8437 0.8437 0.4056
Er: 0.2301 0.7699 0.5000
Er: 0.7699 0.2301 0.5000

***

x) A plane-wave DFT calculation with PBE was carried out for crystalline Nd12Dy5Er2 at its relaxed geometry.

Properties
Fermi-level density of states: 26.4 states/eV/f.u.
Symmetry: C2/m, No. 12
Total magnetic moment: 0.00 μB per formula unit

Unit cell a=9.2365 b=9.2365 c=8.7709 alpha=91.85 beta=91.85 gamma=60.49
Atoms (fractional coordinates):
Nd: 0.0605 0.0605 0.3426
Nd: 0.0677 0.6742 0.3200
Nd: 0.1670 0.5312 0.7629
Nd: 0.3258 0.9323 0.6800
Nd: 0.4192 0.4192 0.1171
Nd: 0.4688 0.8330 0.2371
Nd: 0.5312 0.1670 0.7629
Nd: 0.5808 0.5808 0.8829
Nd: 0.6742 0.0677 0.3200
Nd: 0.8330 0.4688 0.2371
Nd: 0.9323 0.3258 0.6800
Nd: 0.9395 0.9395 0.6574
Dy: 0.2027 0.2027 0.0290
Dy: 0.2690 0.2690 0.4327
Dy: 0.5000 0.5000 0.5000
Dy: 0.7310 0.7310 0.5673
Dy: 0.7973 0.7973 0.9710
Er: 0.1705 0.8295 0.0000
Er: 0.8295 0.1705 0.0000

***

Verdict on stability: x) comes out on top.

***

w) A plane-wave DFT calculation with PBE was carried out for crystalline NdDy3Er2 at its relaxed geometry.

Properties
Fermi-level density of states: 8.3 states/eV/f.u.
Symmetry: C2/c, No. 15
Total magnetic moment: 0.00 μB per formula unit

Unit cell a=9.4003 b=9.4003 c=6.1484 alpha=90.08 beta=90.08 gamma=44.39
Atoms (fractional coordinates):
Nd: 0.1257 0.8743 0.7500
Nd: 0.8743 0.1257 0.2500
Dy: 0.0427 0.2938 0.9151
Dy: 0.2938 0.0427 0.4151
Dy: 0.3762 0.6238 0.2500
Dy: 0.6238 0.3762 0.7500
Dy: 0.7062 0.9573 0.5849
Dy: 0.9573 0.7062 0.0849
Er: 0.2081 0.4569 0.5829
Er: 0.4569 0.2081 0.0829
Er: 0.5431 0.7919 0.9171
Er: 0.7919 0.5431 0.4171

***

x) A plane-wave DFT calculation with PBE was carried out for crystalline NdDy3Er2 at its relaxed geometry.

Properties
Fermi-level density of states: 7.4 states/eV/f.u.
Symmetry: P-1, No. 2
Total magnetic moment: 0.00 μB per formula unit

Unit cell a=7.1504 b=7.1585 c=8.8211 alpha=78.24 beta=78.28 gamma=60.11
Atoms (fractional coordinates):
Nd: 0.2496 0.2505 0.0010
Nd: 0.7504 0.7495 0.9990
Dy: 0.1390 0.1392 0.6647
Dy: 0.2504 0.7497 0.9994
Dy: 0.3606 0.8604 0.3363
Dy: 0.6394 0.1396 0.6637
Dy: 0.7496 0.2503 0.0006
Dy: 0.8610 0.8608 0.3353
Er: 0.1399 0.6388 0.6638
Er: 0.3607 0.3617 0.3352
Er: 0.6393 0.6383 0.6648
Er: 0.8601 0.3612 0.3362

***

Verdict on stability: x) comes out on top.